No. 1
# GaMo2Se

A relaxed structure of GaMo2Se (GGA-PBE, Alexandria).

Computed properties:
Excess energy over the best structure of this formula in the dataset (kcal/mol of atoms): 0.00
Calculated total energy (eV/atom): -6.826
Symmetry: Fm-3m, No. 225
Formation energy from raw total energies (eV/atom): 0.22

a b c (Å): 4.4391 4.4391 4.4391
angles (deg): 60.00 60.00 60.00
Closest atoms and distances in Å follow each position.
Sites, in units of the cell vectors:
Mo  0.2500  0.2500  0.2500  4 Se 2.72, 4 Ga 2.72
Mo  0.7500  0.7500  0.7500  4 Se 2.72, 4 Ga 2.72
Ga  0.0000  0.0000  0.0000  8 Mo 2.72
Se  0.5000  0.5000  0.5000  8 Mo 2.72

No. 2
# K5Zn2O4

A relaxed structure of K5Zn2O4 (GGA-PBE, Alexandria).

Computed properties:
Calculated total energy (eV/atom): -3.410
Symmetry: C2/m, No. 12
Formation energy from raw total energies (eV/atom): -0.88

a b c (Å): 3.7199 7.8250 10.7828
angles (deg): 115.07 99.93 90.00
Closest atoms and distances in Å follow each position.
Sites, in units of the cell vectors:
K  0.1716  0.9556  0.3433  4 O 2.66-2.96
K  0.8284  0.0444  0.6567  4 O 2.66-2.96
K  0.0817  0.5271  0.1633  4 O 2.65-2.81
K  0.5000  0.0000  0.0000  4 O 2.71
K  0.9183  0.4729  0.8367  4 O 2.65-2.81
Zn  0.7288  0.5749  0.4576  1 O 1.81
Zn  0.2712  0.4251  0.5424  1 O 1.81
O  0.6863  0.7318  0.3725  1 Zn 1.81
O  0.0322  0.7986  0.0645  5 K 2.65-2.74
O  0.3137  0.2682  0.6275  1 Zn 1.81
O  0.9678  0.2014  0.9355  5 K 2.65-2.74

No. 3
# Dy2Ag3Pb

A relaxed structure of Dy2Ag3Pb (GGA-PBE, Alexandria).

Computed properties:
Excess energy over the best structure of this formula in the dataset (kcal/mol of atoms): 0.07
Calculated total energy (eV/atom): -3.860
Symmetry: Fmmm, No. 69
Formation energy (meV per atom): -282

a b c (Å): 5.9460 5.9460 9.7552
angles (deg): 113.99 113.99 70.49
Closest atoms and distances in Å follow each position.
Sites, in units of the cell vectors:
Dy  0.7500  0.2500  0.5000  4 Pb 3.30, 8 Ag 3.31-3.33, 2 Dy 3.43
Dy  0.7581  0.2419  0.0000  10 Ag 3.21-3.35, 2 Pb 3.31, 2 Dy 3.32-3.54
Dy  0.2500  0.7500  0.5000  4 Pb 3.30, 8 Ag 3.31-3.33, 2 Dy 3.43
Dy  0.2419  0.7581  0.0000  10 Ag 3.21-3.35, 2 Pb 3.31, 2 Dy 3.32-3.54
Ag  0.8368  0.8368  0.1630  2 Ag 2.76, 1 Pb 2.86
Ag  0.6739  0.6739  0.8370  2 Ag 2.76, 1 Pb 2.86
Ag  0.1632  0.1632  0.8370  2 Ag 2.76, 1 Pb 2.86
Ag  0.3261  0.3261  0.1630  2 Ag 2.76, 1 Pb 2.86
Ag  0.1646  0.1646  0.3293  2 Ag 2.76, 1 Pb 2.88
Ag  0.8354  0.8354  0.6707  2 Ag 2.76, 1 Pb 2.88
Pb  0.6651  0.6651  0.3302  3 Ag 2.86-2.88
Pb  0.3349  0.3349  0.6698  3 Ag 2.86-2.88

No. 4
# Nd9ScIn2

A relaxed structure of Nd9ScIn2 (GGA-PBE, Alexandria).

Computed properties:
Calculated total energy (eV/atom): -4.727
Symmetry: P4/mmm, No. 123
Formation energy (meV per atom): -167

a b c (Å): 4.9945 4.9945 15.1733
angles (deg): 90.00 90.00 90.00
Closest atoms and distances in Å follow each position.
Sites, in units of the cell vectors:
Nd  0.5000  0.5000  0.0000  4 Sc 3.53, 8 Nd 3.57
Nd  0.5000  0.5000  0.3339  4 In 3.53, 8 Nd 3.54-3.55
Nd  0.5000  0.5000  0.6661  4 In 3.53, 8 Nd 3.54-3.55
Nd  0.5000  0.0000  0.1685  8 Nd 3.53-3.57, 2 In 3.57, 2 Sc 3.57
Nd  0.5000  0.0000  0.5000  4 In 3.52, 8 Nd 3.53-3.55
Nd  0.5000  0.0000  0.8315  8 Nd 3.53-3.57, 2 In 3.57, 2 Sc 3.57
Nd  0.0000  0.5000  0.1685  8 Nd 3.53-3.57, 2 In 3.57, 2 Sc 3.57
Nd  0.0000  0.5000  0.5000  4 In 3.52, 8 Nd 3.53-3.55
Nd  0.0000  0.5000  0.8315  8 Nd 3.53-3.57, 2 In 3.57, 2 Sc 3.57
Sc  0.0000  0.0000  0.0000  12 Nd 3.53-3.57
In  0.0000  0.0000  0.3368  12 Nd 3.52-3.57
In  0.0000  0.0000  0.6632  12 Nd 3.52-3.57

No. 5
# KHg3H8

A relaxed structure of KHg3H8 (GGA-PBE, Alexandria).

Computed properties:
Calculated total energy (eV/atom): -2.439
Symmetry: P1, No. 1

a b c (Å): 6.3160 6.9537 7.9232
angles (deg): 60.41 42.09 77.44
Closest atoms and distances in Å follow each position.
Sites, in units of the cell vectors:
K  0.6713  0.0464  0.1290  8 H 2.70-2.95
Hg  0.0389  0.7065  0.3613  4 H 2.85-3.00, 4 Hg 3.07-3.19
Hg  0.7747  0.6756  0.8943  3 H 2.78-3.10, 2 Hg 3.06-3.08
Hg  0.2995  0.7245  0.8362  2 H 2.76-2.95, 2 Hg 3.06-3.07
H  0.1637  0.2686  0.3846  1 H 0.77
H  0.3257  0.2139  0.6512  1 H 0.76
H  0.9231  0.2869  0.1906  1 H 0.77
H  0.4834  0.1579  0.8749  1 H 0.77
H  0.0809  0.1397  0.4879  1 H 0.77
H  0.3122  0.3365  0.5962  1 H 0.76
H  0.8750  0.1585  0.2937  1 H 0.77
H  0.5518  0.2849  0.8004  1 H 0.77

No. 6
# TaCd2Ru

A relaxed structure of TaCd2Ru (GGA-PBE, Alexandria).

Computed properties:
Excess energy over the best structure of this formula in the dataset (kcal/mol of atoms): 9.42
Calculated total energy (eV/atom): -5.318
Symmetry: P4/mmm, No. 123
Formation energy (meV per atom): 422

a b c (Å): 2.8627 2.8627 8.8506
angles (deg): 90.00 90.00 90.00
Closest atoms and distances in Å follow each position.
Sites, in units of the cell vectors:
Cd  0.0000  0.0000  0.0137  4 Cd 2.86, 4 Ru 2.91, 4 Ta 3.09
Cd  0.0000  0.0000  0.4863  4 Cd 2.86, 4 Ru 2.91, 4 Ta 3.09
Ru  0.5000  0.5000  0.2500  4 Ru 2.86, 8 Cd 2.91
Ta  0.5000  0.5000  0.7500  4 Ta 2.86, 8 Cd 3.09

No. 7
# YMoN3

A relaxed structure of YMoN3 (GGA-PBE, Alexandria).

Computed properties:
Calculated total energy (eV/atom): -9.171
Symmetry: Pm, No. 6
Formation energy from raw total energies (eV/atom): -0.72

a b c (Å): 6.3388 6.4438 3.5054
angles (deg): 90.00 90.00 72.64
Closest atoms and distances in Å follow each position.
Sites, in units of the cell vectors:
Y  0.5609  0.0823  0.7399  5 N 2.37-2.56
Y  0.0570  0.5241  0.7399  6 N 2.30-2.56
Mo  0.5512  0.5214  0.2399  5 N 1.93-2.09
Mo  0.0407  0.0351  0.2399  4 N 1.87-1.96
N  0.8012  0.6341  0.2399  1 N 1.44
N  0.4264  0.4982  0.7400  2 Mo 1.95
N  0.0139  0.9085  0.7399  2 Mo 1.96
N  0.7437  0.2228  0.2399  2 Mo 1.91-1.95
N  0.6102  0.8241  0.2399  1 N 1.44
N  0.2103  0.2271  0.2399  1 Mo 1.87

No. 8
# Cs2K17Rb2

A relaxed structure of Cs2K17Rb2 (GGA-PBE, Alexandria).

Computed properties:
Calculated total energy (eV/atom): -1.027
Symmetry: C2/m, No. 12
Formation energy (meV per atom): 35

a b c (Å): 11.9631 11.9631 12.3141
angles (deg): 78.06 78.06 90.39
Closest atoms and distances in Å follow each position.
Sites, in units of the cell vectors:
Cs  0.6415  0.6415  0.6172  2 Rb 4.68, 7 K 4.89-5.22
Cs  0.3585  0.3585  0.3828  2 Rb 4.68, 7 K 4.89-5.22
K  0.8299  0.8299  0.8577  8 K 4.43-4.91, 1 Cs 4.94
K  0.1701  0.1701  0.1423  8 K 4.43-4.91, 1 Cs 4.94
K  0.6324  0.3676  0.0000  9 K 4.49-4.79
K  0.0305  0.7819  0.1728  6 K 4.22-4.70, 1 Rb 4.64
K  0.2181  0.9695  0.8272  6 K 4.22-4.70, 1 Rb 4.64
K  0.9695  0.2181  0.8272  6 K 4.22-4.70, 1 Rb 4.64
K  0.7819  0.0305  0.1728  6 K 4.22-4.70, 1 Rb 4.64
K  0.3676  0.6324  0.0000  9 K 4.49-4.79
K  0.3187  0.8000  0.3206  5 K 4.24-4.72, 1 Rb 4.41
K  0.3405  0.3405  0.7911  9 K 4.43-4.97, 2 Cs 4.89-4.95
K  0.8000  0.3187  0.3206  5 K 4.24-4.72, 1 Rb 4.41
K  0.6813  0.2000  0.6794  5 K 4.24-4.72, 1 Rb 4.41
K  0.6595  0.6595  0.2089  9 K 4.43-4.97, 2 Cs 4.89-4.95
K  0.2000  0.6813  0.6794  5 K 4.24-4.72, 1 Rb 4.41
K  0.0000  0.0000  0.5000  6 K 4.50-4.90
K  0.5000  0.0000  0.0000  8 K 4.30-4.66
K  0.0000  0.5000  0.0000  8 K 4.30-4.66
Rb  0.0000  0.5000  0.5000  4 K 4.41-4.64, 2 Cs 4.68
Rb  0.5000  0.0000  0.5000  4 K 4.41-4.64, 2 Cs 4.68

No. 9
# AgAu2F5

A relaxed structure of AgAu2F5 (GGA-PBE, Alexandria).

Computed properties:
Calculated total energy (eV/atom): -3.225
Symmetry: Pbcn, No. 60
Formation energy from raw total energies (eV/atom): -0.88

a b c (Å): 7.1736 6.8931 11.5132
angles (deg): 90.00 90.00 90.00
Closest atoms and distances in Å follow each position.
Sites, in units of the cell vectors:
Ag  0.7500  0.0000  0.9632  6 F 2.40-2.59
Ag  0.2500  0.5000  0.5368  6 F 2.40-2.59
Ag  0.2500  0.0000  0.0368  6 F 2.40-2.59
Ag  0.7500  0.5000  0.4632  6 F 2.40-2.59
Au  0.9665  0.4059  0.8690  3 F 2.05-2.13
Au  0.4665  0.0941  0.6310  3 F 2.05-2.13
Au  0.0335  0.9059  0.6310  3 F 2.05-2.13
Au  0.5335  0.5941  0.8690  3 F 2.05-2.13
Au  0.0335  0.5941  0.1310  3 F 2.05-2.13
Au  0.5335  0.9059  0.3690  3 F 2.05-2.13
Au  0.9665  0.0941  0.3690  3 F 2.05-2.13
Au  0.4665  0.4059  0.1310  3 F 2.05-2.13
F  0.2500  0.0000  0.3691  2 Au 2.13
F  0.7500  0.5000  0.1309  2 Au 2.13
F  0.7500  0.0000  0.6309  2 Au 2.13
F  0.2500  0.5000  0.8691  2 Au 2.13
F  0.6549  0.1794  0.3616  2 Au 2.08-2.31
F  0.1549  0.3206  0.1384  2 Au 2.08-2.31
F  0.3451  0.6794  0.1384  2 Au 2.08-2.31
F  0.8451  0.8206  0.3616  2 Au 2.08-2.31
F  0.3451  0.8206  0.6384  2 Au 2.08-2.31
F  0.8451  0.6794  0.8616  2 Au 2.08-2.31
F  0.6549  0.3206  0.8616  2 Au 2.08-2.31
F  0.1549  0.1794  0.6384  2 Au 2.08-2.31
F  0.0489  0.3768  0.3871  1 Au 2.05
F  0.5489  0.1232  0.1129  1 Au 2.05
F  0.9511  0.8768  0.1129  1 Au 2.05
F  0.4511  0.6232  0.3871  1 Au 2.05
F  0.9511  0.6232  0.6129  1 Au 2.05
F  0.4511  0.8768  0.8871  1 Au 2.05
F  0.0489  0.1232  0.8871  1 Au 2.05
F  0.5489  0.3768  0.6129  1 Au 2.05

No. 10
# Be13Ni2

A relaxed structure of Be13Ni2 (GGA-PBE, Alexandria).

Computed properties:
Calculated total energy (eV/atom): -3.745
Symmetry: R-3m, No. 166
Formation energy (meV per atom): 256

a b c (Å): 5.6857 5.6857 6.4064
angles (deg): 63.66 63.66 60.00
Closest atoms and distances in Å follow each position.
Sites, in units of the cell vectors:
Ni  0.3748  0.3748  0.8755  7 Be 2.07-2.16
Ni  0.6252  0.6252  0.1245  7 Be 2.07-2.16
Be  0.5000  0.5000  0.5000  2 Ni 2.07, 6 Be 2.14
Be  0.3942  0.0158  0.1958  2 Ni 2.08-2.16, 5 Be 2.15-2.30
Be  0.3942  0.3942  0.1958  2 Ni 2.08-2.16, 5 Be 2.15-2.30
Be  0.0158  0.3942  0.1958  2 Ni 2.08-2.16, 5 Be 2.15-2.30
Be  0.9842  0.6058  0.8042  2 Ni 2.08-2.16, 5 Be 2.15-2.30
Be  0.6058  0.9842  0.8042  2 Ni 2.08-2.16, 5 Be 2.15-2.30
Be  0.6058  0.6058  0.8042  2 Ni 2.08-2.16, 5 Be 2.15-2.30
Be  0.2531  0.8728  0.6210  6 Be 2.14-2.34
Be  0.2531  0.2531  0.6210  6 Be 2.14-2.34
Be  0.8728  0.2531  0.6210  6 Be 2.14-2.34
Be  0.1272  0.7469  0.3790  6 Be 2.14-2.34
Be  0.7469  0.1272  0.3790  6 Be 2.14-2.34
Be  0.7469  0.7469  0.3790  6 Be 2.14-2.34

No. 11
# MgSi2Pt

A relaxed structure of MgSi2Pt (GGA-PBE, Alexandria).

Computed properties:
Calculated total energy (eV/atom): -4.893
Symmetry: Pm, No. 6
Formation energy from raw total energies (eV/atom): -0.27

a b c (Å): 3.9128 3.7677 4.9236
angles (deg): 66.92 90.00 90.00
Closest atoms and distances in Å follow each position.
Sites, in units of the cell vectors:
Mg  0.0000  0.5198  0.5899  3 Si 2.51-2.77, 4 Pt 2.77-2.78
Pt  0.5000  0.9551  0.7145  3 Si 2.44-2.52
Si  0.0000  0.7912  0.0370  2 Pt 2.44, 1 Mg 2.51
Si  0.5000  0.2339  0.1586  3 Pt 2.52-2.77, 4 Si 2.76-2.78

No. 12
# BeRh2

A relaxed structure of BeRh2 (GGA-PBE, Alexandria).

Computed properties:
Calculated total energy (eV/atom): -6.350
Symmetry: I4_1/amd, No. 141
Formation energy (meV per atom): -207

a b c (Å): 10.2267 10.2267 10.2267
angles (deg): 164.65 164.65 21.77
Closest atoms and distances in Å follow each position.
Sites, in units of the cell vectors:
Be  0.0000  0.0000  0.0000  8 Rh 2.38
Be  0.7500  0.2500  0.5000  8 Rh 2.38
Rh  0.5692  0.5692  0.0000  4 Be 2.38, 2 Rh 2.63
Rh  0.1808  0.6808  0.5000  4 Be 2.38, 2 Rh 2.63
Rh  0.4308  0.4308  0.0000  4 Be 2.38, 2 Rh 2.63
Rh  0.3192  0.8192  0.5000  4 Be 2.38, 2 Rh 2.63